Model 1:
Here is a crystal of KCaZr relaxed with PBEsol from Alexandria. Energies are from SCAN.

The space group is I4mm (No. 107) and the conventional cell measures 3.369, 3.369 and 18.168 Å, with angles of 90.00, 90.00 and 90.00 degrees. The asymmetric unit holds K at (0.000, 0.000, 0.000), Ca at (0.000, 0.000, 0.298) and Zr at (0.000, 0.000, 0.668).

Model 2:
Here is a crystal of KCaZr relaxed with PBEsol from Alexandria. Energies are from SCAN.

The space group is Fmm2 (No. 42) and the conventional cell measures 3.819, 5.465 and 19.453 Å, with angles of 90.00, 90.00 and 90.00 degrees. The asymmetric unit holds K at (0.000, 0.000, 0.000), Ca at (0.000, 0.000, 0.305) and Zr at (0.000, 0.000, 0.669).

Last place for stability: model 1

Model 1:
Here is a crystal of CaLa2 relaxed with PBEsol from Alexandria. Energies are from SCAN.

The space group is Cmcm (No. 63) and the conventional cell measures 3.670, 19.823 and 6.002 Å, with angles of 90.00, 90.00 and 90.00 degrees. The asymmetric unit holds Ca at (0.000, 0.218, 0.250), La at (0.000, 0.106, 0.750) and La at (0.000, 0.448, 0.750).

Model 2:
Here is a crystal of CaLa2 relaxed with PBEsol from Alexandria. Energies are from SCAN.

The space group is P6_3/mmc (No. 194) and the conventional cell measures 5.9213, 5.9213 and 7.1305 Å, with angles of 90.00, 90.00 and 120.00 degrees. The asymmetric unit holds Ca at (0.3333, 0.6667, 0.2500), La at (0.0000, 0.0000, 0.0000) and La at (0.3333, 0.6667, 0.7500).

Model 3:
Here is a crystal of CaLa2 relaxed with PBEsol from Alexandria. Energies are from SCAN.

The space group is Cm (No. 8) and the conventional cell measures 13.838, 3.698 and 8.781 Å, with angles of 90.00, 105.72 and 90.00 degrees. The asymmetric unit holds Ca at (0.000, 0.000, 0.000), Ca at (0.158, 0.500, 0.335), La at (0.118, 0.500, 0.729), La at (0.283, 0.000, 0.054), La at (0.331, 0.000, 0.666) and La at (0.430, 0.500, 0.406).

Model 4:
Here is a crystal of CaLa2 relaxed with PBEsol from Alexandria. Energies are from SCAN.

The space group is I4/mmm (No. 139) and the conventional cell measures 3.673, 3.673 and 16.113 Å, with angles of 90.00, 90.00 and 90.00 degrees. The asymmetric unit holds Ca at (0.000, 0.000, 0.000) and La at (0.000, 0.000, 0.325).

Last place for stability: model 2